{
  "formula": "Na4Te2F",
  "functional": "GGA-PBE",
  "state": "relaxed",
  "lattice": [[4.549, 0.000, 0.000], [0.000, 4.549, 0.000], [2.274, 2.274, 8.498]],
  "species": ["Na", "Na", "Na", "Na", "F", "Te", "Te"],
  "frac_coords": [[0.170, 0.170, 0.660], [0.500, 0.000, 0.000], [0.830, 0.830, 0.340], [0.000, 0.500, 0.000], [0.000, 0.000, 0.000], [0.359, 0.359, 0.282], [0.641, 0.641, 0.718]],
  "raw_formation_energy_mev_per_atom": -1277.0,
  "final_energy_ev_per_atom": -3.20
}

---

{
  "formula": "TbNbMo4",
  "functional": "GGA-PBE",
  "state": "relaxed",
  "lattice": [[-0.386, 5.384, 0.156], [-2.278, 2.664, -4.108], [-4.822, 2.344, 0.645]],
  "species": ["Mo", "Mo", "Mo", "Mo", "Tb", "Nb"],
  "frac_coords": [[0.625, 0.625, 0.124], [0.625, 0.124, 0.625], [0.625, 0.625, 0.625], [0.124, 0.625, 0.625], [0.250, 0.250, 0.250], [0.000, 0.000, 0.000]],
  "final_energy_ev_per_atom": -9.58
}

---

{
  "formula": "Ho8Er6Tl",
  "functional": "GGA-PBE",
  "state": "relaxed",
  "lattice": [[-2.736, -3.365, 5.088], [3.748, -7.696, -3.074], [4.539, 5.229, 5.899]],
  "species": ["Er", "Er", "Er", "Er", "Er", "Er", "Ho", "Ho", "Ho", "Ho", "Ho", "Ho", "Ho", "Ho", "Tl"],
  "frac_coords": [[0.603, 0.398, 0.319], [0.397, 0.079, 0.398], [0.603, 0.681, 0.079], [0.603, 0.921, 0.602], [0.397, 0.319, 0.921], [0.397, 0.602, 0.681], [0.191, 0.667, 0.333], [0.809, 0.333, 0.667], [0.111, 0.017, 0.686], [0.889, 0.331, 0.017], [0.889, 0.983, 0.314], [0.889, 0.686, 0.669], [0.111, 0.669, 0.983], [0.111, 0.314, 0.331], [0.500, 0.000, 0.000]],
  "final_energy_ev_per_atom": -4.21
}

---

{
  "formula": "PaAsRhSe",
  "functional": "GGA-PBE",
  "state": "relaxed",
  "lattice": [[-3.092, 1.731, -2.171], [-2.482, -3.180, 0.999], [-2.670, 4.374, 7.289]],
  "species": ["Pa", "Pa", "Rh", "Rh", "Se", "Se", "As", "As"],
  "frac_coords": [[0.000, 0.500, 0.263], [0.500, 0.000, 0.737], [0.000, 0.000, 0.000], [0.500, 0.500, 0.000], [0.500, 0.500, 0.500], [0.000, 0.000, 0.500], [0.000, 0.500, 0.823], [0.500, 0.000, 0.177]],
  "raw_formation_energy_mev_per_atom": -952.3,
  "final_energy_ev_per_atom": -7.20
}

---

{
  "formula": "CaRe2Si",
  "functional": "GGA-PBE",
  "state": "relaxed",
  "lattice": [[-1.039, -2.903, 0.836], [0.642, -1.076, -2.938], [6.409, -1.710, 2.027]],
  "species": ["Ca", "Re", "Re", "Si"],
  "frac_coords": [[0.500, 0.500, 0.750], [0.000, 0.000, 0.427], [0.000, 0.000, 0.073], [0.500, 0.500, 0.250]],
  "raw_formation_energy_mev_per_atom": 348.7,
  "final_energy_ev_per_atom": -7.73
}

---

{
  "formula": "Li6Cd3Hg",
  "functional": "GGA-PBE",
  "state": "relaxed",
  "lattice": [[-1.330, -1.843, -4.552], [3.306, -7.915, 2.239], [-8.513, 0.040, 2.472]],
  "species": ["Hg", "Hg", "Li", "Li", "Li", "Li", "Li", "Li", "Li", "Li", "Li", "Li", "Li", "Li", "Cd", "Cd", "Cd", "Cd", "Cd", "Cd"],
  "frac_coords": [[0.161, 0.163, 0.837], [0.661, 0.837, 0.163], [0.270, 0.964, 0.036], [0.437, 0.566, 0.988], [0.029, 0.681, 0.565], [0.937, 0.434, 0.012], [0.770, 0.036, 0.964], [0.437, 0.012, 0.434], [0.529, 0.565, 0.681], [0.029, 0.435, 0.319], [0.529, 0.319, 0.435], [0.937, 0.988, 0.566], [0.121, 0.755, 0.245], [0.621, 0.245, 0.755], [0.474, 0.304, 0.126], [0.553, 0.631, 0.369], [0.974, 0.696, 0.874], [0.474, 0.874, 0.696], [0.053, 0.369, 0.631], [0.974, 0.126, 0.304]],
  "final_energy_ev_per_atom": -1.63
}